Entry 1:
Below is a relaxed TiB2Br crystal, with properties calculated at the GGA-PBE level.

## Properties
**N(E_F)**: 3.840 states/eV/cell
**ΔE_f (raw)**: 122 kJ per mole of atoms
**Total magnetic moment**: 0.00 μB/cell

a = 5.5938 Å, b = 5.5938 Å, c = 5.5938 Å
α = 120.42°, β = 120.42°, γ = 89.28°
Closest atoms and distances in Å follow each position.
Positions (direct):
Ti 0.0000 0.0000 0.0000  4 B 2.25
Ti 0.7500 0.2500 0.5000  4 B 2.25
B 0.1385 0.6250 0.0135  2 Br 2.16, 2 Ti 2.25
B 0.3750 0.3885 0.5135  2 Br 2.16, 2 Ti 2.25
B 0.6115 0.1250 0.9865  2 Br 2.16, 2 Ti 2.25
B 0.8750 0.8615 0.4865  2 Br 2.16, 2 Ti 2.25
Br 0.2500 0.7500 0.5000  4 B 2.16
Br 0.5000 0.5000 0.0000  4 B 2.16

Entry 2:
Below is a relaxed TmSnAu4 crystal, with properties calculated at the GGA-PBE level.

## Properties
**N(E_F)**: 3.214 states/eV/cell
**Energy relative to the elements**: -8.35 kcal/mol of atoms
**Total magnetic moment**: 0.00 μB/cell

a = 5.6184 Å, b = 5.6184 Å, c = 5.6184 Å
α = 60.00°, β = 60.00°, γ = 60.00°
Closest atoms and distances in Å follow each position.
Positions (direct):
Tm 0.0000 0.0000 0.0000  12 Au 3.29, 4 Sn 3.44
Sn 0.7500 0.7500 0.7500  12 Au 3.29, 4 Tm 3.44
Au 0.3748 0.3748 0.3748  6 Au 2.81
Au 0.3748 0.3748 0.8755  6 Au 2.81
Au 0.3748 0.8755 0.3748  6 Au 2.81
Au 0.8755 0.3748 0.3748  6 Au 2.81

Entry 3:
Below is a relaxed Mn2AlFe crystal, with properties calculated at the GGA-PBE level.

## Properties
**N(E_F)**: 2.922 states/eV/cell
**Energy relative to the elements**: -2.71 kcal/mol of atoms
**Total magnetic moment**: 1.58 μB/cell

a = 2.6162 Å, b = 2.6162 Å, c = 6.8770 Å
α = 90.00°, β = 90.00°, γ = 90.00°
Closest atoms and distances in Å follow each position.
Positions (direct):
Mn 0.0000 0.0000 0.0000  4 Fe 2.44, 8 Mn 2.51-2.62
Mn 0.5000 0.5000 0.2473  8 Mn 2.51-2.62, 4 Al 2.59
Al 0.0000 0.0000 0.5117  4 Fe 2.56, 4 Mn 2.59, 4 Al 2.62
Fe 0.5000 0.5000 0.7681  4 Mn 2.44, 4 Al 2.56, 4 Fe 2.62

Entry 4:
Below is a relaxed PaCdAsN crystal, with properties calculated at the GGA-PBE level.

## Properties
**N(E_F)**: 0.405 states/eV/cell
**ΔE_f (raw)**: -94 kJ per mole of atoms
**Total magnetic moment**: 0.00 μB/cell

a = 12.0741 Å, b = 12.0741 Å, c = 12.0741 Å
α = 18.93°, β = 18.93°, γ = 18.93°
Closest atoms and distances in Å follow each position.
Positions (direct):
Pa 0.1266 0.1266 0.1266  4 N 2.25-2.37
Pa 0.8734 0.8734 0.8734  4 N 2.25-2.37
Cd 0.3031 0.3031 0.3031  3 As 2.79
Cd 0.6969 0.6969 0.6969  3 As 2.79
As 0.4084 0.4084 0.4084  3 Cd 2.79, 3 Pa 2.93
As 0.5916 0.5916 0.5916  3 Cd 2.79, 3 Pa 2.93
N 0.1897 0.1897 0.1897  4 Pa 2.25-2.37
N 0.8103 0.8103 0.8103  4 Pa 2.25-2.37